No. 1
12
Lattice="-4.8119 -0.9699 1.6680 3.8236 -3.3469 1.0277 1.6021 3.9556 6.9217" Properties=species:S:1:pos:R:3 comment="Pa2TlAsO8 | the Alexandria database | PBE | optimized geometry" vol_a3_per_atom=15.773 magmom_total_mub_per_fu=0.00 raw_formation_energy_mev_per_atom=-2304 pbc="T T T"
Pa -1.7183 -1.2311 2.3838
Pa 2.3321 0.8701 7.2336
Tl 0.8010 1.9778 3.4609
As 0.0000 0.0000 0.0000
O -0.0673 0.4462 8.1221
O 0.4178 2.5650 6.7989
O -1.9441 2.0890 7.6177
O 0.6810 -0.8072 1.4953
O 0.1959 -2.9261 2.8184
O 2.5578 -2.4500 1.9997
O -1.3489 -0.3189 3.9800
O 1.9626 -0.0422 5.6373

No. 2
5
Lattice="-1.6575 3.6265 -2.3929 -2.4992 1.2993 3.7002 3.5542 2.6048 1.4859" Properties=species:S:1:pos:R:3 comment="Mn3BrN | the Alexandria database | PBE | optimized geometry" vol_a3_per_atom=20.113 magmom_total_mub_per_fu=13.00 raw_formation_energy_mev_per_atom=1940 pbc="T T T"
Mn -1.2496 0.6497 1.8501
Mn 1.7771 1.3024 0.7429
Mn -0.8287 1.8133 -1.1965
Br 0.0000 0.0000 0.0000
N -0.3012 3.7653 1.3965

No. 3
8
Lattice="4.1208 0.0000 0.0000 0.0000 7.4921 -0.2348 0.0000 2.5596 7.0029" Properties=species:S:1:pos:R:3 comment="Nd4PtSe2Br | the Alexandria database | PBE | optimized geometry" vol_a3_per_atom=27.335 magmom_total_mub_per_fu=0.00 raw_formation_energy_mev_per_atom=-1496 pbc="T T T"
Nd 0.0001 7.5016 5.2218
Nd 4.1208 2.5500 1.5463
Nd 2.0605 6.3182 1.4500
Nd 2.0604 3.7334 5.3182
Pt 2.0604 3.7460 -0.1174
Se 0.0000 2.5596 7.0029
Se 2.0604 1.2798 3.5015
Br 0.0000 5.0258 3.3841

No. 4
8
Lattice="4.2261 0.0000 0.0000 0.0000 7.3699 0.1544 0.0000 -2.5675 7.8380" Properties=species:S:1:pos:R:3 comment="PrPaTl2Se4 | the Alexandria database | PBE | optimized geometry" vol_a3_per_atom=30.724 magmom_total_mub_per_fu=2.02 raw_formation_energy_mev_per_atom=-1150 pbc="T T T"
Pr 0.0000 0.0000 0.0000
Pa 2.1131 3.6849 0.0772
Tl 2.1131 -1.2837 3.9190
Tl 0.0000 2.4012 3.9962
Se 2.1131 1.2912 1.7033
Se 2.1131 3.5111 6.2890
Se 0.0000 -0.0003 6.2429
Se 0.0000 4.8026 1.7494

No. 5
5
Lattice="-4.1717 -0.9260 3.5838 -1.4081 -4.5968 -2.8268 3.0778 -2.7146 2.8812" Properties=species:S:1:pos:R:3 comment="FeTeOsI2 | the Alexandria database | PBE | optimized geometry" vol_a3_per_atom=31.194 polymorph_energy_mev_per_atom=0.0 magmom_total_mub_per_fu=3.93 raw_formation_energy_mev_per_atom=1154 pbc="T T T"
I -0.7040 -2.2984 -1.4134
I -2.0859 -0.4630 1.7919
Te 1.5389 -1.3573 1.4406
Os 0.0000 0.0000 0.0000
Fe -1.2510 -4.1187 1.8191

No. 6
8
Lattice="-2.0696 -0.9462 2.3897 -2.2211 -0.8854 -2.2742 5.1426 -12.0673 -0.3243" Properties=species:S:1:pos:R:3 comment="Sc3Al4Tc | the Alexandria database | PBE | optimized geometry" vol_a3_per_atom=17.860 magmom_total_mub_per_fu=0.00 final_energy_ev_per_atom=-5.9615 pbc="T T T"
Sc -0.9360 -3.7537 -0.0185
Sc 0.4259 -6.9495 -0.1044
Sc 1.7878 -10.1453 -0.1903
Al 4.6396 -10.8871 -0.2926
Al 0.5029 -1.1802 -0.0317
Al 1.8879 -4.4302 -0.1191
Al 3.2546 -7.6371 -0.2053
Tc -2.1454 -0.9158 0.0578

No. 7
18
Lattice="4.6495 0.0981 0.4314 0.4920 7.5819 2.4728 0.1371 0.1543 7.9875" Properties=species:S:1:pos:R:3 comment="Zn6Ag2Pt | the Alexandria database | PBE | optimized geometry" vol_a3_per_atom=15.502 polymorph_energy_mev_per_atom=0.0 magmom_total_mub_per_fu=0.00 pbc="T T T"
Zn 2.5986 5.2658 5.2995
Zn 0.4449 4.3930 3.9854
Zn 2.6801 2.5685 5.5921
Zn 4.8338 3.4412 6.9063
Zn 3.0280 0.7165 3.1932
Zn 4.4826 5.2234 9.3571
Zn 2.2507 7.1178 7.6984
Zn 0.7961 2.6109 1.5346
Zn 1.7971 5.9300 2.1622
Zn 1.4281 7.5334 4.2980
Zn 3.4815 1.9043 8.7295
Zn 3.8506 0.3009 6.5936
Ag 2.3744 4.3679 7.8658
Ag 0.4959 1.6682 4.1088
Ag 2.9043 3.4664 3.0258
Ag 4.7827 6.1661 6.7829
Pt 1.3474 1.1817 7.3507
Pt 3.9312 6.6526 3.5410

No. 8
6
Lattice="5.4417 0.0000 0.0000 2.7208 4.7126 0.0000 2.7208 1.5709 4.4431" Properties=species:S:1:pos:R:3 comment="LuZnGa4 | the Alexandria database | PBE | optimized geometry" vol_a3_per_atom=18.990 magmom_total_mub_per_fu=0.00 final_energy_ev_per_atom=-3.1253 pbc="T T T"
Zn 0.0000 0.0000 0.0000
Lu 2.7208 1.5709 1.1108
Ga 5.4417 3.1418 0.5559
Ga 5.4417 1.5713 2.7768
Ga 6.8017 3.9270 2.7768
Ga 4.0817 3.9270 2.7768

No. 9
4
Lattice="3.0431 0.0000 0.0000 1.5216 2.6354 0.0000 1.5216 0.8785 8.5095" Properties=species:S:1:pos:R:3 comment="TcAgGe2 | the Alexandria database | PBE | optimized geometry" vol_a3_per_atom=17.061 polymorph_energy_mev_per_atom=42.1 magmom_total_mub_per_fu=0.00 pbc="T T T"
Tc 3.0431 1.7569 0.0304
Ag 3.0431 1.7569 4.2048
Ge 1.5216 0.8785 6.6454
Ge 1.5216 0.8785 1.8837

No. 10
16
Lattice="-6.1130 4.7468 -1.9491 2.9352 -2.6603 -6.9287 -4.5061 -8.3673 4.2582" Properties=species:S:1:pos:R:3 comment="RbCaCoBr5 | the Alexandria database | PBE | optimized geometry" vol_a3_per_atom=36.485 magmom_total_mub_per_fu=3.00 raw_formation_energy_mev_per_atom=-1306 pbc="T T T"
Rb -1.3255 -2.1864 -4.1393
Rb -6.3584 -4.0944 -0.4803
Ca -2.2531 -4.1836 2.1291
Ca 0.0000 0.0000 0.0000
Co -4.3851 0.3182 -2.4555
Co -3.2989 -6.5990 -2.1641
Br 1.0634 -4.1420 -5.4540
Br -8.7474 -2.1388 0.8345
Br -5.1155 2.3876 -3.4672
Br -2.5685 -8.6684 -1.1524
Br -5.5478 -0.2013 -0.4018
Br -2.1361 -6.0794 -4.2178
Br -4.7572 -1.6233 -3.8541
Br -2.9267 -4.6575 -0.7655
Br -1.9988 0.6110 -2.1653
Br -5.6851 -6.8917 -2.4543

No. 11
5
Lattice="-2.1267 0.6720 3.8988 1.6073 -3.4799 1.4766 3.5445 2.2900 1.5387" Properties=species:S:1:pos:R:3 comment="LiZrFeRe2 | the Alexandria database | PBE | optimized geometry" vol_a3_per_atom=16.575 magmom_total_mub_per_fu=0.00 final_energy_ev_per_atom=-8.0210 pbc="T T T"
Re 1.7722 1.1450 0.7693
Re -1.0633 0.3360 1.9494
Fe 0.0000 0.0000 0.0000
Zr 1.5126 -0.2589 3.4570
Li 0.8037 -1.7400 0.7383

No. 12
3
Lattice="-2.8085 0.9144 1.7737 1.1116 -1.8262 2.7016 3.2948 4.5519 -0.4756" Properties=species:S:1:pos:R:3 comment="NaCdRh | the Alexandria database | PBE | optimized geometry" vol_a3_per_atom=20.122 polymorph_energy_mev_per_atom=4.5 magmom_total_mub_per_fu=0.00 pbc="T T T"
Na 0.0335 0.0562 0.0242
Rh 0.0680 1.0785 2.8977
Cd 1.4964 2.5054 1.0778